# DyCuGeSe3 GGA-PBE optimized geometry
# **Energy above the lowest structure with this stoichiometry**: 0.0000 eV/atom
# **Calculated volume**: 271 Å³/cell
data_DyCuGeSe3
_chemical_formula_sum 'Dy2 Cu2 Ge2 Se6'
_cell_length_a 3.897
_cell_length_b 6.973
_cell_length_c 10.402
_cell_angle_alpha 90.00
_cell_angle_beta 90.00
_cell_angle_gamma 73.77
_symmetry_space_group_name_H-M 'P 1'
_symmetry_Int_Tables_number 1
loop_
_symmetry_equiv_pos_as_xyz
'x,y,z'
loop_
_atom_site_label
_atom_site_type_symbol
_atom_site_fract_x
_atom_site_fract_y
_atom_site_fract_z
_atom_site_occupancy
Ge1 Ge 0.774 0.452 0.750 1
Ge2 Ge 0.226 0.548 0.250 1
Se1 Se 0.352 0.297 0.929 1
Se2 Se 0.907 0.185 0.250 1
Se3 Se 0.648 0.703 0.071 1
Se4 Se 0.093 0.815 0.750 1
Se5 Se 0.352 0.297 0.571 1
Se6 Se 0.648 0.703 0.429 1
Dy1 Dy 0.000 0.000 0.000 1
Dy2 Dy 0.000 0.000 0.500 1
Cu1 Cu 0.474 0.051 0.750 1
Cu2 Cu 0.526 0.949 0.250 1